Model P:
Ta2TcRh after structural relaxation. Source: Alexandria, functional PBE-GGA.

The space group is Cm (No. 8) and the conventional cell measures 9.692, 2.870 and 4.782 Å, with angles of 90.00, 99.71 and 90.00 degrees. The inequivalent atoms are Ta at (0.000, 0.000, 0.000), Ta at (0.228, 0.000, 0.674), Tc at (0.476, 0.000, 0.485) and Rh at (0.248, 0.500, 0.187).

Model Q:
Ta2TcRh after structural relaxation. Source: Alexandria, functional PBE-GGA.

The space group is Cmm2 (No. 35) and the conventional cell measures 3.591, 4.233 and 8.590 Å, with angles of 90.00, 90.00 and 90.00 degrees. The inequivalent atoms are Ta at (0.000, 0.000, 0.000), Ta at (0.000, 0.500, 0.274), Tc at (0.000, 0.000, 0.533) and Rh at (0.000, 0.500, 0.751).

Most stable to least stable: model P, model Q